1.
SrCa3Pd after structural relaxation, computed with PBE.

* N(E_F): 8.4 states/eV per cell
* symmetry: No. 14
* calculated formation energy: -281 meV per atom
* ρ: 2.8 Mg/m³
* energy above the lowest structure with this stoichiometry: 35 meV per atom
* raw total energy: -2.86 eV per atom

extended XYZ file:
```
20
Lattice="9.647 0.000 0.000 0.000 7.223 0.000 -8.120 0.000 10.523" Properties=species:S:1:pos:R:3 pbc="T T T"
Sr 0.744 1.564 0.713
Sr -3.316 2.047 5.974
Sr 4.842 5.176 4.549
Sr 0.782 5.658 9.810
Ca -5.746 4.218 8.340
Ca -1.686 6.616 3.079
Ca 1.835 5.066 2.058
Ca -2.225 5.769 7.320
Ca -3.589 1.662 10.045
Ca 0.471 1.949 4.784
Ca 1.055 5.274 5.739
Ca 5.116 5.561 0.478
Ca 3.752 1.454 3.203
Ca -0.308 2.157 8.465
Ca 3.213 0.607 7.444
Ca 7.273 3.005 2.183
Pd -1.595 4.248 4.822
Pd -5.656 6.586 10.083
Pd 7.182 0.637 0.440
Pd 3.122 2.974 5.701
```

2.
Sr3CaPd after structural relaxation, computed with PBE.

* N(E_F): 6.9 states/eV per cell
* symmetry: No. 1
* calculated formation energy: -279 meV per atom
* ρ: 3.3 Mg/m³
* energy above the lowest structure with this stoichiometry: 26 meV per atom
* raw total energy: -2.73 eV per atom

extended XYZ file:
```
10
Lattice="7.289 0.000 0.000 2.729 7.611 0.000 1.611 3.002 7.533" Properties=species:S:1:pos:R:3 pbc="T T T"
Sr 0.000 0.000 0.000
Sr 1.386 3.801 0.006
Sr 3.150 7.141 3.676
Sr 6.767 7.801 5.403
Sr 4.880 2.765 2.157
Sr 8.490 3.420 3.857
Ca 5.148 4.092 6.103
Ca 6.487 6.481 1.444
Pd 2.262 1.304 1.651
Pd 9.381 9.275 5.875
```

3.
SrCaPd10 after structural relaxation, computed with PBE.

* N(E_F): 14.0 states/eV per cell
* symmetry: No. 47
* calculated formation energy: -360 meV per atom
* ρ: 8.8 Mg/m³
* raw total energy: -4.99 eV per atom

extended XYZ file:
```
12
Lattice="4.463 0.000 0.000 0.000 5.393 0.000 0.000 0.000 9.357" Properties=species:S:1:pos:R:3 pbc="T T T"
Sr 0.000 0.000 0.000
Ca 0.000 2.697 4.678
Pd 0.000 0.000 3.164
Pd 0.000 0.000 6.192
Pd 0.000 2.697 1.611
Pd 0.000 2.697 7.746
Pd 2.231 0.000 4.678
Pd 2.231 1.352 2.361
Pd 2.231 1.352 6.996
Pd 2.231 2.697 0.000
Pd 2.231 4.042 2.361
Pd 2.231 4.042 6.996
```

4.
SrCaPd2 after structural relaxation, computed with PBE.

* N(E_F): 1.5 states/eV per cell
* symmetry: No. 6
* calculated formation energy: -625 meV per atom
* ρ: 5.5 Mg/m³
* energy above the lowest structure with this stoichiometry: 0 meV per atom
* raw total energy: -4.14 eV per atom

extended XYZ file:
```
4
Lattice="4.123 0.000 0.000 0.000 4.483 0.000 -2.073 0.000 5.562" Properties=species:S:1:pos:R:3 pbc="T T T"
Sr 0.000 0.000 0.000
Ca 2.051 2.241 2.468
Pd -0.013 0.000 3.113
Pd -0.010 2.241 4.767
```

5.
Sr3CaPd after structural relaxation, computed with PBE.

* N(E_F): 6.1 states/eV per cell
* symmetry: No. 12
* calculated formation energy: -270 meV per atom
* ρ: 3.3 Mg/m³
* energy above the lowest structure with this stoichiometry: 35 meV per atom
* raw total energy: -2.72 eV per atom

extended XYZ file:
```
10
Lattice="8.688 -3.497 0.000 8.688 3.497 0.000 -3.275 0.000 6.819" Properties=species:S:1:pos:R:3 pbc="T T T"
Sr 0.290 0.000 1.876
Sr 0.213 0.000 5.673
Sr 4.185 0.000 3.347
Sr 9.917 0.000 3.472
Sr 13.889 0.000 1.146
Sr 13.811 0.000 4.943
Ca 7.061 0.000 0.852
Ca 7.040 0.000 5.966
Pd 7.051 1.540 3.409
Pd 7.051 -1.540 3.409
```

6.
SrCaPd2 after structural relaxation, computed with PBE.

* N(E_F): 3.9 states/eV per cell
* symmetry: No. 122
* calculated formation energy: -339 meV per atom
* ρ: 5.6 Mg/m³
* energy above the lowest structure with this stoichiometry: 286 meV per atom
* raw total energy: -3.86 eV per atom

extended XYZ file:
```
16
Lattice="7.856 0.000 0.000 0.000 7.856 0.000 0.000 0.000 6.588" Properties=species:S:1:pos:R:3 pbc="T T T"
Sr 0.000 0.000 0.000
Sr 0.000 3.928 1.647
Sr 3.928 0.000 4.941
Sr 3.928 3.928 3.294
Ca 0.000 0.000 3.294
Ca 0.000 3.928 4.941
Ca 3.928 0.000 1.647
Ca 3.928 3.928 0.000
Pd 1.865 1.964 4.117
Pd 1.964 5.793 5.764
Pd 1.964 5.992 2.470
Pd 2.063 1.964 0.823
Pd 5.793 5.892 0.823
Pd 5.892 1.865 2.470
Pd 5.892 2.063 5.764
Pd 5.992 5.892 4.117
```

7.
Sr2Ca6Pd after structural relaxation, computed with PBE.

* N(E_F): 8.5 states/eV per cell
* symmetry: No. 225
* calculated formation energy: -182 meV per atom
* ρ: 2.3 Mg/m³
* raw total energy: -2.47 eV per atom

extended XYZ file:
```
9
Lattice="0.000 5.697 5.697 5.697 0.000 5.697 5.697 5.697 0.000" Properties=species:S:1:pos:R:3 pbc="T T T"
Sr 2.849 2.849 2.849
Sr 8.546 8.546 8.546
Ca 5.697 5.697 2.836
Ca 5.697 2.836 5.697
Ca 8.558 5.697 5.697
Ca 2.836 5.697 5.697
Ca 5.697 8.558 5.697
Ca 5.697 5.697 8.558
Pd 5.697 5.697 5.697
```

8.
SrCa8Pd6 after structural relaxation, computed with PBE.

* N(E_F): 8.0 states/eV per cell
* symmetry: No. 148
* calculated formation energy: -560 meV per atom
* ρ: 4.3 Mg/m³
* raw total energy: -3.82 eV per atom

extended XYZ file:
```
15
Lattice="4.390 2.535 6.088 -4.390 2.535 6.088 0.000 -5.069 6.088" Properties=species:S:1:pos:R:3 pbc="T T T"
Sr 0.000 0.000 0.000
Ca -1.508 -2.506 8.123
Ca -2.924 0.053 10.142
Ca 0.000 0.000 6.117
Ca -1.416 2.559 8.123
Ca 1.416 -2.559 10.142
Ca 0.000 0.000 12.148
Ca 2.924 -0.053 8.123
Ca 1.508 2.506 10.142
Pd -2.897 -0.048 7.076
Pd -1.407 -2.533 11.189
Pd 1.490 -2.485 7.076
Pd -1.490 2.485 11.189
Pd 1.407 2.533 7.076
Pd 2.897 0.048 11.189
```

9.
Sr3CaPd after structural relaxation, computed with PBE.

* N(E_F): 6.2 states/eV per cell
* symmetry: No. 6
* calculated formation energy: -281 meV per atom
* ρ: 3.2 Mg/m³
* energy above the lowest structure with this stoichiometry: 25 meV per atom
* raw total energy: -2.73 eV per atom

extended XYZ file:
```
10
Lattice="8.393 0.000 0.000 0.000 6.087 0.000 -3.974 0.000 8.439" Properties=species:S:1:pos:R:3 pbc="T T T"
Sr 0.000 0.000 0.000
Sr -1.987 3.043 6.204
Sr 2.009 3.043 2.005
Sr 0.189 0.000 8.379
Sr 2.203 3.043 6.124
Sr 6.225 3.043 2.072
Ca 0.031 0.000 4.125
Ca 4.274 0.000 4.151
Pd 2.191 0.000 2.247
Pd 4.239 3.043 8.274
```

10.
Sr3CaPd2 after structural relaxation, computed with PBE.

* N(E_F): 6.2 states/eV per cell
* symmetry: No. 12
* calculated formation energy: -469 meV per atom
* ρ: 4.0 Mg/m³
* raw total energy: -3.37 eV per atom

extended XYZ file:
```
12
Lattice="9.083 -2.227 0.000 9.083 2.227 0.000 -6.639 0.000 10.583" Properties=species:S:1:pos:R:3 pbc="T T T"
Sr -1.230 0.000 4.607
Sr -4.632 0.000 10.089
Sr 4.512 0.000 2.652
Sr 7.014 0.000 7.931
Sr 16.159 0.000 0.494
Sr 12.757 0.000 5.976
Ca 1.023 0.000 7.805
Ca 10.503 0.000 2.778
Pd -1.384 0.000 9.965
Pd 1.934 0.000 4.704
Pd 9.592 0.000 5.879
Pd 12.910 0.000 0.618
```

11.
Sr3CaPd after structural relaxation, computed with PBE.

* N(E_F): 5.8 states/eV per cell
* symmetry: No. 11
* calculated formation energy: -259 meV per atom
* ρ: 3.2 Mg/m³
* energy above the lowest structure with this stoichiometry: 47 meV per atom
* raw total energy: -2.71 eV per atom

extended XYZ file:
```
10
Lattice="6.767 0.000 0.000 0.000 7.792 0.000 -1.405 0.000 7.948" Properties=species:S:1:pos:R:3 pbc="T T T"
Sr -0.057 1.948 0.815
Sr 2.134 0.054 5.889
Sr 2.134 3.842 5.889
Sr 3.227 3.950 2.059
Sr 3.227 7.738 2.059
Sr 5.419 5.844 7.133
Ca -0.130 5.844 3.282
Ca 5.492 1.948 4.667
Pd 1.383 1.948 3.547
Pd 3.979 5.844 4.401
```

12.
Sr3CaPd after structural relaxation, computed with PBE.

* N(E_F): 14.0 states/eV per cell
* symmetry: No. 15
* calculated formation energy: -265 meV per atom
* ρ: 3.3 Mg/m³
* energy above the lowest structure with this stoichiometry: 40 meV per atom
* raw total energy: -2.71 eV per atom

extended XYZ file:
```
20
Lattice="9.677 -6.211 0.000 9.677 6.211 0.000 -0.566 0.000 6.754" Properties=species:S:1:pos:R:3 pbc="T T T"
Sr 7.241 4.573 4.911
Sr 3.704 1.838 5.565
Sr 11.265 4.573 5.221
Sr 6.372 1.052 2.687
Sr 3.986 -1.838 2.187
Sr 6.089 -1.052 6.064
Sr 12.700 1.052 0.690
Sr 14.802 1.838 4.567
Sr 12.417 -1.052 4.068
Sr 7.524 -4.573 1.534
Sr 15.085 -1.838 1.190
Sr 11.548 -4.573 1.844
Ca 9.536 3.193 1.689
Ca 9.253 1.041 5.066
Ca 9.536 -1.041 1.689
Ca 9.253 -3.193 5.066
Pd 6.782 2.005 6.591
Pd 11.724 2.005 3.541
Pd 7.065 -2.005 3.213
Pd 12.006 -2.005 0.164
```